VASP calculation (PBE+U) on crystalline VSbP2O at its relaxed geometry.

```
5
Lattice="4.8417 0.0000 0.0000 0.0000 4.8417 0.0000 0.0000 0.0000 3.6211" Properties=species:S:1:pos:R:3 pbc="T T T"
V 0.0000 0.0000 0.0000
Sb 2.4209 2.4209 1.8106
P 0.0000 2.4209 0.0000
P 2.4209 0.0000 0.0000
O 0.0000 0.0000 1.8106
```

relative energy among the computed polymorphs = 0 meV per atom
density = 4903 kg/m3
size of the total moment = 0.0 μB/f.u.
Fermi-level density of states = 1.65 states/eV/cell